(1)
Here is NaAcHg after structural relaxation from the Alexandria database. Energies are from GGA-PBE.

Lattice parameters (Å, degrees): 5.375 5.375 5.375 60.00 60.00 60.00
Fractional coordinates of all 3 atoms:
Hg  0.250  0.250  0.250
Na  0.500  0.500  0.500
Ac  0.000  0.000  0.000

Values from the calculation:
The space group is F-43m, No. 216. Its energy above the most stable polymorph in this dataset is 110.1 meV per atom. The calculation puts the density of states at the Fermi level at 1.395 states/eV/atom. For the calculated formation energy, the calculation gives -116 meV/atom.


(2)
Here is Tm5AlTc2 after structural relaxation from the Alexandria database. Energies are from GGA-PBE.

Lattice parameters (Å, degrees): 7.416 7.416 8.835 114.82 114.82 90.00
Fractional coordinates of all 16 atoms:
Al  0.250  0.250  0.500
Tm  0.813  0.966  0.279
Tm  0.966  0.466  0.279
Tm  0.534  0.687  0.721
Tm  0.313  0.813  0.279
Tc  0.619  0.119  0.000
Tc  0.119  0.381  0.000
Tm  0.034  0.534  0.721
Tm  0.000  0.000  0.000
Tm  0.500  0.500  0.000
Tm  0.466  0.313  0.279
Tc  0.381  0.881  0.000
Al  0.750  0.750  0.500
Tc  0.881  0.619  0.000
Tm  0.687  0.187  0.721
Tm  0.187  0.034  0.721

Values from the calculation:
The space group is I4/mcm, No. 140. The calculation puts the density of states at the Fermi level at 1.315 states/eV/atom. For the calculated formation energy, the calculation gives -147 meV/atom.


(3)
Here is KTlS after structural relaxation from the Alexandria database. Energies are from GGA-PBE.

Lattice parameters (Å, degrees): 3.791 3.791 6.637 106.60 106.60 90.00
Fractional coordinates of all 3 atoms:
K  0.023  0.023  0.046
Tl  0.297  0.297  0.594
S  0.680  0.680  0.360

Values from the calculation:
The space group is I4mm, No. 107. The uncorrected formation energy is -0.61 eV per atom. Its energy above the most stable polymorph in this dataset is 129.3 meV per atom.


(4)
Here is CaPaTlHg after structural relaxation from the Alexandria database. Energies are from GGA-PBE.

Lattice parameters (Å, degrees): 5.378 5.378 5.378 60.00 60.00 60.00
Site moments in Bohr magnetons follow the coordinates.
Fractional coordinates of all 4 atoms:
Hg  0.500  0.500  0.500  0.03
Tl  0.000  0.000  0.000  0.01
Pa  0.250  0.250  0.250  1.12
Ca  0.750  0.750  0.750  0.01

Values from the calculation:
The space group is F-43m, No. 216. The calculation puts the density of states at the Fermi level at 1.497 states/eV/atom. For the calculated formation energy, the calculation gives -3 meV/atom.


For each record above, in turn, the calculated calculated total energy values are -2.025, -6.001, -3.139, -3.545 eV/atom.
For each record above, in turn, the calculated total magnetic moment values are 0.00, 0.00, 0.00, 1.38 μB/f.u..